# 1
The following is a DFT calculation (PBE) of a relaxed structure of BaFeSb2.

Computed properties:
Magnetic moment (μB/atom): 0.6337
Final energy (eV per atom): -4.815

Cell and atoms, written as CIF:
```
data_BaFeSb2
_cell_length_a 5.061
_cell_length_b 5.174
_cell_length_c 5.105
_cell_angle_alpha 90.00
_cell_angle_beta 90.00
_cell_angle_gamma 90.00
_space_group_name_H-M_alt 'P m m 2'
_space_group_IT_number 25
loop_
_space_group_symop_operation_xyz
'x,y,z'
'-x,-y,z'
'-x,y,z'
'x,-y,z'
loop_
_atom_site_label
_atom_site_fract_x
_atom_site_fract_y
_atom_site_fract_z
Ba1 0.000 0.000 0.000
Fe1 0.500 0.500 0.349
Sb1 0.000 0.500 0.495
Sb2 0.500 0.500 0.863
```


# 2
The following is a DFT calculation (PBE) of a relaxed structure of TmUSe3.

Computed properties:
Distance to the lowest polymorph of the same formula (meV per atom): 0
Magnetic moment (μB/atom): 0.5718

Cell and atoms, written as CIF:
```
data_TmUSe3
_cell_length_a 7.634
_cell_length_b 4.052
_cell_length_c 15.677
_cell_angle_alpha 90.00
_cell_angle_beta 90.00
_cell_angle_gamma 90.00
_space_group_name_H-M_alt 'P n m a'
_space_group_IT_number 62
loop_
_space_group_symop_operation_xyz
'x,y,z'
'-x,-y,-z'
'-x+1/2,-y,z+1/2'
'x+1/2,y,-z+1/2'
'x+1/2,-y+1/2,-z+1/2'
'-x+1/2,y+1/2,z+1/2'
'-x,y+1/2,-z'
'x,-y+1/2,z'
loop_
_atom_site_label
_atom_site_fract_x
_atom_site_fract_y
_atom_site_fract_z
Tm1 0.235 0.250 0.043
U1 0.136 0.750 0.294
Se1 0.008 0.750 0.107
Se2 0.122 0.250 0.434
Se3 0.148 0.750 0.719
```


# 3
The following is a DFT calculation (PBE) of a relaxed structure of MnSiBr.

Computed properties:
Distance to the lowest polymorph of the same formula (meV per atom): 211
Magnetic moment (μB/atom): 1.2834

Cell and atoms, written as CIF:
```
data_MnSiBr
_cell_length_a 4.147
_cell_length_b 4.766
_cell_length_c 12.871
_cell_angle_alpha 90.00
_cell_angle_beta 90.00
_cell_angle_gamma 90.00
_space_group_name_H-M_alt 'F m m 2'
_space_group_IT_number 42
_space_group_name_Hall 'F 2 -2'
loop_
_atom_site_label
_atom_site_fract_x
_atom_site_fract_y
_atom_site_fract_z
Mn1 0.000 0.000 0.000
Si1 0.000 0.000 0.614
Br1 0.000 0.000 0.369
```


# 4
The following is a DFT calculation (PBE) of a relaxed structure of As2WC.

Computed properties:
Magnetic moment (μB/atom): 0.0246
ΔH_f (0 K) (eV/atom): 1.036

Cell and atoms, written as CIF:
```
data_As2WC
_cell_length_a 5.554
_cell_length_b 5.554
_cell_length_c 8.469
_cell_angle_alpha 90.00
_cell_angle_beta 90.00
_cell_angle_gamma 90.00
_space_group_name_H-M_alt 'I -4 2 d'
_space_group_IT_number 122
_space_group_name_Hall 'I -4 2bw'
loop_
_atom_site_label
_atom_site_fract_x
_atom_site_fract_y
_atom_site_fract_z
As1 0.177 0.250 0.125
W1 0.000 0.000 0.500
C1 0.000 0.000 0.000
```